[1]
A geometry-optimized AlTcN2 structure. Source: the Alexandria database, functional PBE.

Results
Symmetry   No. 122
Total magnetization   0.8 μB/f.u.
E_tot   -8.02 eV per atom

Lattice parameters (Å, degrees): 5.3747 5.3747 5.3747 128.84 128.84 75.26
Fractional coordinates of all 8 atoms:
Al 0.0000 0.0000 0.0000
Al 0.7500 0.2500 0.5000
Tc 0.2500 0.7500 0.5000
Tc 0.5000 0.5000 0.0000
N 0.1003 0.6250 0.9753
N 0.3750 0.3503 0.4753
N 0.6497 0.1250 0.0247
N 0.8750 0.8997 0.5247

***

[2]
A geometry-optimized TlHgTe2Rh structure. Source: the Alexandria database, functional PBE.

Results
Symmetry   No. 123
Total magnetization   2.0 μB/f.u.
E_tot   -2.16 eV per atom

Lattice parameters (Å, degrees): 5.7801 5.7801 5.5213 90.00 90.00 90.00
Fractional coordinates of all 5 atoms:
Tl 0.0000 0.0000 0.0000
Hg 0.0000 0.0000 0.5000
Te 0.0000 0.5000 0.0000
Te 0.5000 0.0000 0.0000
Rh 0.5000 0.5000 0.5000

***

[3]
A geometry-optimized LiPrSi2Pt structure. Source: the Alexandria database, functional PBE.

Results
Symmetry   No. 119
Total magnetization   0.0 μB/f.u.
E_tot   -5.59 eV per atom

Lattice parameters (Å, degrees): 5.9685 5.9685 5.9685 139.50 139.50 58.62
Fractional coordinates of all 5 atoms:
Li 0.0000 0.0000 0.0000
Pr 0.7500 0.2500 0.5000
Si 0.1348 0.6348 0.5000
Si 0.3652 0.8652 0.5000
Pt 0.5000 0.5000 0.0000

***

[4]
A geometry-optimized Zr2NiAs structure. Source: the Alexandria database, functional PBE.

Results
Symmetry   No. 47
Total magnetization   0.0 μB/f.u.
E_tot   -7.44 eV per atom
DFT formation energy   -54.0 kJ per mole of atoms

Lattice parameters (Å, degrees): 3.5193 4.1699 4.8769 90.00 90.00 90.00
Fractional coordinates of all 4 atoms:
Zr 0.0000 0.0000 0.0000
Zr 0.0000 0.5000 0.5000
Ni 0.5000 0.0000 0.5000
As 0.5000 0.5000 0.0000

***

[5]
A geometry-optimized MnAl2I structure. Source: the Alexandria database, functional PBE.

Results
Offset from the most stable computed form   500.1 meV/atom
Symmetry   No. 225
Total magnetization   0.0 μB/f.u.
E_tot   -3.53 eV per atom

Lattice parameters (Å, degrees): 4.6268 4.6268 4.6268 60.00 60.00 60.00
Fractional coordinates of all 4 atoms:
Mn 0.0000 0.0000 0.0000
Al 0.2500 0.2500 0.2500
Al 0.7500 0.7500 0.7500
I 0.5000 0.5000 0.5000

***

[6]
A geometry-optimized Ba2NdBi2O6 structure. Source: the Alexandria database, functional PBE.

Results
Symmetry   No. 12
Total magnetization   0.1 μB/f.u.
E_tot   -6.19 eV per atom

Lattice parameters (Å, degrees): 6.4555 6.4555 7.2309 114.55 114.55 61.95
Fractional coordinates of all 11 atoms:
Ba 0.2087 0.2087 0.1337
Ba 0.7913 0.7913 0.8663
Nd 0.0000 0.0000 0.5000
Bi 0.4360 0.4360 0.7376
Bi 0.5640 0.5640 0.2624
O 0.1661 0.6739 0.2153
O 0.2125 0.2125 0.4973
O 0.3261 0.8339 0.7847
O 0.6739 0.1661 0.2153
O 0.7875 0.7875 0.5027
O 0.8339 0.3261 0.7847

***

[7]
A geometry-optimized TmLu2In structure. Source: the Alexandria database, functional PBE.

Results
Offset from the most stable computed form   154.0 meV/atom
Symmetry   No. 225
Total magnetization   0.0 μB/f.u.
E_tot   -4.16 eV per atom
DFT formation energy   -9.4 kJ per mole of atoms

Lattice parameters (Å, degrees): 5.3516 5.3516 5.3516 60.00 60.00 60.00
Fractional coordinates of all 4 atoms:
Tm 0.0000 0.0000 0.0000
Lu 0.2500 0.2500 0.2500
Lu 0.7500 0.7500 0.7500
In 0.5000 0.5000 0.5000

***

[8]
A geometry-optimized SrPr2S4 structure. Source: the Alexandria database, functional PBE.

Results
Offset from the most stable computed form   0.0 meV/atom
Symmetry   No. 122
Total magnetization   0.0 μB/f.u.
E_tot   -6.05 eV per atom

Lattice parameters (Å, degrees): 7.5741 7.5741 7.5741 109.47 109.47 109.48
Fractional coordinates of all 14 atoms:
Sr 0.0000 0.0000 0.0000
Sr 0.7500 0.2500 0.5000
Pr 0.2477 0.6250 0.1227
Pr 0.3750 0.4977 0.6227
Pr 0.5023 0.1250 0.8773
Pr 0.8750 0.7523 0.3773
S 0.1334 0.7308 0.7493
S 0.1341 0.2315 0.7507
S 0.2692 0.0185 0.4026
S 0.4808 0.3834 0.2493
S 0.6159 0.8666 0.5974
S 0.6166 0.8659 0.0974
S 0.7685 0.5192 0.9026
S 0.9815 0.3841 0.2507

***

[9]
A geometry-optimized AcPrTlPd structure. Source: the Alexandria database, functional PBE.

Results
Symmetry   No. 216
Total magnetization   0.0 μB/f.u.
E_tot   -4.55 eV per atom
DFT formation energy   -42.3 kJ per mole of atoms

Lattice parameters (Å, degrees): 5.5121 5.5121 5.5121 60.00 60.00 60.00
Fractional coordinates of all 4 atoms:
Ac 0.0000 0.0000 0.0000
Pr 0.5000 0.5000 0.5000
Tl 0.7500 0.7500 0.7500
Pd 0.2500 0.2500 0.2500

***

[10]
A geometry-optimized SmPaCo10 structure. Source: the Alexandria database, functional PBE.

Results
Symmetry   No. 47
Total magnetization   12.0 μB/f.u.
E_tot   -7.24 eV per atom
DFT formation energy   -12.6 kJ per mole of atoms

Lattice parameters (Å, degrees): 4.0079 4.8733 8.4899 90.00 90.00 90.00
Fractional coordinates of all 12 atoms:
Sm 0.0000 0.0000 0.0000
Pa 0.0000 0.5000 0.5000
Co 0.0000 0.0000 0.3431
Co 0.0000 0.0000 0.6569
Co 0.0000 0.5000 0.1921
Co 0.0000 0.5000 0.8079
Co 0.5000 0.0000 0.5000
Co 0.5000 0.2464 0.2494
Co 0.5000 0.2464 0.7506
Co 0.5000 0.5000 0.0000
Co 0.5000 0.7536 0.2494
Co 0.5000 0.7536 0.7506

***

[11]
A geometry-optimized Be3Os structure. Source: the Alexandria database, functional PBE.

Results
Symmetry   No. 166
Total magnetization   0.0 μB/f.u.
E_tot   -5.32 eV per atom
DFT formation energy   27.0 kJ per mole of atoms

Lattice parameters (Å, degrees): 7.6055 7.6055 7.6055 19.83 19.83 19.83
Fractional coordinates of all 4 atoms:
Be 0.0000 0.0000 0.0000
Be 0.2511 0.2511 0.2511
Be 0.7489 0.7489 0.7489
Os 0.5000 0.5000 0.5000

***

[12]
A geometry-optimized HfMgNi3 structure. Source: the Alexandria database, functional PBE.

Results
Offset from the most stable computed form   142.7 meV/atom
Symmetry   No. 221
Total magnetization   0.0 μB/f.u.
E_tot   -4.99 eV per atom
DFT formation energy   75.9 kJ per mole of atoms

Lattice parameters (Å, degrees): 4.5954 4.5954 4.5954 90.00 90.00 90.00
Fractional coordinates of all 5 atoms:
Hf 0.0000 0.0000 0.0000
Mg 0.5000 0.5000 0.5000
Ni 0.0000 0.0000 0.5000
Ni 0.0000 0.5000 0.0000
Ni 0.5000 0.0000 0.0000

***

[13]
A geometry-optimized Ir2PdRh3 structure. Source: the Alexandria database, functional PBE.

Results
Symmetry   No. 123
Total magnetization   0.0 μB/f.u.
E_tot   -7.48 eV per atom
DFT formation energy   1.6 kJ per mole of atoms

Lattice parameters (Å, degrees): 2.7342 2.7342 11.6281 90.00 90.00 90.00
Fractional coordinates of all 6 atoms:
Ir 0.0000 0.0000 0.1667
Ir 0.0000 0.0000 0.8333
Pd 0.0000 0.0000 0.5000
Rh 0.5000 0.5000 0.0000
Rh 0.5000 0.5000 0.3267
Rh 0.5000 0.5000 0.6733

***

[14]
A geometry-optimized Ba6PdRhAu structure. Source: the Alexandria database, functional PBE.

Results
Symmetry   No. 163
Total magnetization   0.0 μB/f.u.
E_tot   -3.42 eV per atom
DFT formation energy   -36.7 kJ per mole of atoms

Lattice parameters (Å, degrees): 7.9123 7.9123 15.2036 90.00 90.00 120.00
Fractional coordinates of all 18 atoms:
Ba 0.0091 0.3460 0.1333
Ba 0.0091 0.6631 0.3667
Ba 0.3369 0.3460 0.3667
Ba 0.3369 0.9909 0.1333
Ba 0.3460 0.0091 0.6333
Ba 0.3460 0.3369 0.8667
Ba 0.6540 0.6631 0.1333
Ba 0.6540 0.9909 0.3667
Ba 0.6631 0.0091 0.8667
Ba 0.6631 0.6540 0.6333
Ba 0.9909 0.3369 0.6333
Ba 0.9909 0.6540 0.8667
Pd 0.3333 0.6667 0.7500
Pd 0.6667 0.3333 0.2500
Rh 0.3333 0.6667 0.2500
Rh 0.6667 0.3333 0.7500
Au 0.0000 0.0000 0.0000
Au 0.0000 0.0000 0.5000

***

[15]
A geometry-optimized GaAgAu3 structure. Source: the Alexandria database, functional PBE.

Results
Offset from the most stable computed form   434.2 meV/atom
Symmetry   No. 221
Total magnetization   0.0 μB/f.u.
E_tot   -2.78 eV per atom
DFT formation energy   34.8 kJ per mole of atoms

Lattice parameters (Å, degrees): 4.8576 4.8576 4.8576 90.00 90.00 90.00
Fractional coordinates of all 5 atoms:
Ga 0.0000 0.0000 0.0000
Ag 0.5000 0.5000 0.5000
Au 0.0000 0.0000 0.5000
Au 0.0000 0.5000 0.0000
Au 0.5000 0.0000 0.0000

***

[16]
A geometry-optimized KTl2Co structure. Source: the Alexandria database, functional PBE.

Results
Symmetry   No. 65
Total magnetization   1.6 μB/f.u.
E_tot   -2.57 eV per atom
DFT formation energy   64.5 kJ per mole of atoms

Lattice parameters (Å, degrees): 6.0343 6.0343 3.1675 90.00 90.00 114.23
Fractional coordinates of all 4 atoms:
K 0.0000 0.0000 0.0000
Tl 0.0000 0.5000 0.5000
Tl 0.5000 0.0000 0.5000
Co 0.5000 0.5000 0.0000

***

[17]
A geometry-optimized Ho6Cu2Os structure. Source: the Alexandria database, functional PBE.

Results
Symmetry   No. 71
Total magnetization   0.0 μB/f.u.
E_tot   -5.40 eV per atom
DFT formation energy   -18.8 kJ per mole of atoms

Lattice parameters (Å, degrees): 8.2329 8.2329 8.2329 110.20 109.18 109.04
Fractional coordinates of all 18 atoms:
Ho 0.0712 0.8258 0.2453
Ho 0.2116 0.3300 0.5416
Ho 0.2116 0.6700 0.8815
Ho 0.3154 0.0757 0.7603
Ho 0.3154 0.5550 0.2397
Ho 0.4195 0.1742 0.2453
Ho 0.5805 0.8258 0.7547
Ho 0.6846 0.4450 0.7603
Ho 0.6846 0.9243 0.2397
Ho 0.7884 0.3300 0.1185
Ho 0.7884 0.6700 0.4584
Ho 0.9288 0.1742 0.7547
Cu 0.0000 0.1234 0.1234
Cu 0.0000 0.8766 0.8766
Cu 0.1474 0.6474 0.5000
Cu 0.8526 0.3526 0.5000
Os 0.5000 0.0000 0.5000
Os 0.5000 0.5000 0.0000

***

[18]
A geometry-optimized MgAlCrIr structure. Source: the Alexandria database, functional PBE.

Results
Symmetry   No. 216
Total magnetization   3.3 μB/f.u.
E_tot   -6.28 eV per atom
DFT formation energy   -31.6 kJ per mole of atoms

Lattice parameters (Å, degrees): 4.3669 4.3669 4.3669 60.00 60.00 60.00
Fractional coordinates of all 4 atoms:
Mg 0.0000 0.0000 0.0000
Al 0.5000 0.5000 0.5000
Cr 0.2500 0.2500 0.2500
Ir 0.7500 0.7500 0.7500

***

[19]
A geometry-optimized KAsCl2 structure. Source: the Alexandria database, functional PBE.

Results
Offset from the most stable computed form   201.8 meV/atom
Symmetry   No. 12
Total magnetization   0.1 μB/f.u.
E_tot   -2.98 eV per atom

Lattice parameters (Å, degrees): 5.7116 5.7116 3.4591 95.83 95.83 90.39
Fractional coordinates of all 4 atoms:
K 0.0000 0.0000 0.0000
As 0.5000 0.5000 0.0000
Cl 0.0000 0.5000 0.0000
Cl 0.5000 0.0000 0.0000

***

[20]
A geometry-optimized TaSbMo2 structure. Source: the Alexandria database, functional PBE.

Results
Symmetry   No. 6
Total magnetization   0.0 μB/f.u.
E_tot   -9.22 eV per atom

Lattice parameters (Å, degrees): 3.0511 4.3095 5.4637 90.00 95.76 90.00
Fractional coordinates of all 4 atoms:
Ta 0.0000 0.0000 0.0000
Sb 0.4192 0.5000 0.7262
Mo 0.4462 0.5000 0.2329
Mo 0.8745 0.0000 0.4663